P:
# NiAsPPtC

A relaxed structure of NiAsPPtC (PBE, the Alexandria database).

Cell: 3.518 3.524 6.700 Å, 97.72 103.08 108.05°
Positions (direct):
Ni 0.000 0.000 0.000
As 0.526 0.302 0.827
P 0.546 0.764 0.311
Pt 0.236 0.194 0.430
C 0.379 0.654 0.035

Computed properties:
D(E_F) = 1.1 states/eV per cell


Q:
# NiAsPPtC

A relaxed structure of NiAsPPtC (PBE, the Alexandria database).

Cell: 4.108 4.108 5.803 Å, 97.70 97.70 52.81°
Positions (direct):
Ni 0.000 0.000 0.000
As 0.466 0.466 0.398
P 0.246 0.246 0.847
Pt 0.797 0.797 0.592
C 0.451 0.451 0.059

Computed properties:
D(E_F) = 2.2 states/eV per cell


R:
# NiAsPPtC

A relaxed structure of NiAsPPtC (PBE, the Alexandria database).

Cell: 3.318 3.696 6.446 Å, 73.68 84.60 80.10°
Positions (direct):
Ni 0.000 0.000 0.000
As 0.637 0.627 0.839
P 0.194 0.351 0.330
Pt 0.599 0.726 0.424
C 0.156 0.456 0.039

Computed properties:
D(E_F) = 1.9 states/eV per cell


Most favorable structure: Q. The second most favorable one is 4.4 kJ/mol of atoms above it.


P:
# As3OsC

A relaxed structure of As3OsC (PBE, the Alexandria database).

Cell: 4.778 4.778 4.778 Å, 90.00 90.00 90.00°
Positions (direct):
As 0.000 0.000 0.500
As 0.000 0.500 0.000
As 0.500 0.000 0.000
Os 0.000 0.000 0.000
C 0.500 0.500 0.500

Computed properties:
D(E_F) = 3.4 states/eV per cell


Q:
# As3OsC

A relaxed structure of As3OsC (PBE, the Alexandria database).

Cell: 4.202 4.202 4.202 Å, 90.00 90.00 90.00°
Positions (direct):
As 0.000 0.000 0.500
As 0.000 0.500 0.000
As 0.500 0.000 0.000
Os 0.500 0.500 0.500
C 0.000 0.000 0.000

Computed properties:
D(E_F) = 2.9 states/eV per cell


Most favorable structure: Q. The second most favorable one is 55.1 kJ/mol of atoms above it.


P:
# AsOsCSe2

A relaxed structure of AsOsCSe2 (PBE, the Alexandria database).

Cell: 4.280 4.280 4.146 Å, 90.00 90.00 90.00°
Positions (direct):
As 0.000 0.000 0.000
Os 0.500 0.500 0.000
C 0.000 0.000 0.500
Se 0.000 0.500 0.500
Se 0.500 0.000 0.500

Computed properties:
D(E_F) = 3.2 states/eV per cell


Q:
# AsOsCSe2

A relaxed structure of AsOsCSe2 (PBE, the Alexandria database).

Cell: 4.944 4.944 4.706 Å, 90.00 90.00 90.00°
Positions (direct):
As 0.000 0.000 0.000
Os 0.000 0.000 0.500
C 0.500 0.500 0.000
Se 0.000 0.500 0.500
Se 0.500 0.000 0.500

Computed properties:
D(E_F) = 6.8 states/eV per cell


Most favorable structure: P. The second most favorable one is 44.2 kJ/mol of atoms above it.